## P
# GGA-PBE Na3Cu2Se3, relaxed
data_Na3Cu2Se3
_cell_length_a 7.645
_cell_length_b 6.985
_cell_length_c 12.697
_cell_angle_alpha 90.00
_cell_angle_beta 90.00
_cell_angle_gamma 90.00
_space_group_name_H-M_alt 'P 1'
_space_group_IT_number 1
loop_
_space_group_symop_operation_xyz
'x,y,z'
loop_
_atom_site_label
_atom_site_type_symbol
_atom_site_fract_x
_atom_site_fract_y
_atom_site_fract_z
_atom_site_occupancy
Na1 Na 0.183 0.518 0.392 1
Na2 Na 0.683 0.982 0.608 1
Na3 Na 0.817 0.482 0.892 1
Na4 Na 0.317 0.018 0.108 1
Na5 Na 0.817 0.482 0.608 1
Na6 Na 0.317 0.018 0.392 1
Na7 Na 0.183 0.518 0.108 1
Na8 Na 0.683 0.982 0.892 1
Na9 Na 0.786 0.493 0.250 1
Na10 Na 0.286 0.007 0.750 1
Na11 Na 0.214 0.507 0.750 1
Na12 Na 0.714 0.993 0.250 1
Cu1 Cu 0.926 0.133 0.425 1
Cu2 Cu 0.426 0.367 0.575 1
Cu3 Cu 0.074 0.867 0.925 1
Cu4 Cu 0.574 0.633 0.075 1
Cu5 Cu 0.074 0.867 0.575 1
Cu6 Cu 0.574 0.633 0.425 1
Cu7 Cu 0.926 0.133 0.075 1
Cu8 Cu 0.426 0.367 0.925 1
Se1 Se 0.059 0.211 0.250 1
Se2 Se 0.559 0.289 0.750 1
Se3 Se 0.941 0.789 0.750 1
Se4 Se 0.441 0.711 0.250 1
Se5 Se 0.625 0.278 0.432 1
Se6 Se 0.125 0.222 0.568 1
Se7 Se 0.375 0.722 0.932 1
Se8 Se 0.875 0.778 0.068 1
Se9 Se 0.375 0.722 0.568 1
Se10 Se 0.875 0.778 0.432 1
Se11 Se 0.625 0.278 0.068 1
Se12 Se 0.125 0.222 0.932 1
# V (Å³ per atom): 21.19
# Crystal system: orthorhombic



## Q
# GGA-PBE Na3Cu2Se3, relaxed
data_Na3Cu2Se3
_cell_length_a 4.095
_cell_length_b 6.398
_cell_length_c 13.848
_cell_angle_alpha 90.00
_cell_angle_beta 90.00
_cell_angle_gamma 108.66
_space_group_name_H-M_alt 'P 1'
_space_group_IT_number 1
loop_
_space_group_symop_operation_xyz
'x,y,z'
loop_
_atom_site_label
_atom_site_type_symbol
_atom_site_fract_x
_atom_site_fract_y
_atom_site_fract_z
_atom_site_occupancy
Na1 Na 0.931 0.862 0.389 1
Na2 Na 0.069 0.138 0.889 1
Na3 Na 0.931 0.862 0.111 1
Na4 Na 0.069 0.138 0.611 1
Na5 Na 0.668 0.337 0.250 1
Na6 Na 0.332 0.663 0.750 1
Cu1 Cu 0.765 0.530 0.910 1
Cu2 Cu 0.235 0.470 0.410 1
Cu3 Cu 0.765 0.530 0.590 1
Cu4 Cu 0.235 0.470 0.090 1
Se1 Se 0.632 0.263 0.450 1
Se2 Se 0.368 0.737 0.950 1
Se3 Se 0.632 0.263 0.050 1
Se4 Se 0.368 0.737 0.550 1
Se5 Se 0.338 0.677 0.250 1
Se6 Se 0.662 0.323 0.750 1
# V (Å³ per atom): 21.48
# Crystal system: orthorhombic



Short version: P, Q, most stable first.



## P
# GGA-PBE Na2Cu2Se3, relaxed
data_Na2Cu2Se3
_cell_length_a 3.709
_cell_length_b 5.694
_cell_length_c 8.460
_cell_angle_alpha 89.00
_cell_angle_beta 90.70
_cell_angle_gamma 109.08
_space_group_name_H-M_alt 'P 1'
_space_group_IT_number 1
loop_
_space_group_symop_operation_xyz
'x,y,z'
loop_
_atom_site_label
_atom_site_type_symbol
_atom_site_fract_x
_atom_site_fract_y
_atom_site_fract_z
_atom_site_occupancy
Na1 Na 0.866 0.751 0.675 1
Na2 Na 0.134 0.249 0.325 1
Cu1 Cu 0.589 0.187 0.835 1
Cu2 Cu 0.411 0.813 0.165 1
Se1 Se 0.000 0.000 0.000 1
Se2 Se 0.850 0.683 0.324 1
Se3 Se 0.150 0.317 0.676 1
# V (Å³ per atom): 24.12
# Crystal system: triclinic



## Q
# GGA-PBE Na2Cu2Se3, relaxed
data_Na2Cu2Se3
_cell_length_a 3.989
_cell_length_b 8.238
_cell_length_c 9.663
_cell_angle_alpha 78.77
_cell_angle_beta 78.09
_cell_angle_gamma 75.99
_space_group_name_H-M_alt 'P 1'
_space_group_IT_number 1
loop_
_space_group_symop_operation_xyz
'x,y,z'
loop_
_atom_site_label
_atom_site_type_symbol
_atom_site_fract_x
_atom_site_fract_y
_atom_site_fract_z
_atom_site_occupancy
Na1 Na 0.268 0.127 0.336 1
Na2 Na 0.732 0.873 0.664 1
Na3 Na 0.386 0.267 0.961 1
Na4 Na 0.614 0.733 0.039 1
Cu1 Cu 0.023 0.266 0.688 1
Cu2 Cu 0.977 0.734 0.312 1
Cu3 Cu 0.417 0.512 0.654 1
Cu4 Cu 0.583 0.488 0.346 1
Se1 Se 0.064 0.006 0.867 1
Se2 Se 0.936 0.994 0.133 1
Se3 Se 0.162 0.477 0.198 1
Se4 Se 0.838 0.523 0.802 1
Se5 Se 0.393 0.758 0.457 1
Se6 Se 0.607 0.242 0.543 1
# V (Å³ per atom): 21.28
# Crystal system: monoclinic



Short version: Q, P, most stable first.



## P
# GGA-PBE Na3Cu4Se4, relaxed
data_Na3Cu4Se4
_cell_length_a 4.222
_cell_length_b 7.026
_cell_length_c 7.992
_cell_angle_alpha 116.08
_cell_angle_beta 105.32
_cell_angle_gamma 90.00
_space_group_name_H-M_alt 'P 1'
_space_group_IT_number 1
loop_
_space_group_symop_operation_xyz
'x,y,z'
loop_
_atom_site_label
_atom_site_type_symbol
_atom_site_fract_x
_atom_site_fract_y
_atom_site_fract_z
_atom_site_occupancy
Na1 Na 0.110 0.110 0.219 1
Na2 Na 0.890 0.890 0.781 1
Na3 Na 0.000 0.500 0.000 1
Cu1 Cu 0.326 0.138 0.652 1
Cu2 Cu 0.674 0.486 0.348 1
Cu3 Cu 0.674 0.862 0.348 1
Cu4 Cu 0.326 0.514 0.652 1
Se1 Se 0.229 0.729 0.457 1
Se2 Se 0.771 0.271 0.543 1
Se3 Se 0.500 0.772 0.000 1
Se4 Se 0.500 0.228 0.000 1
# V (Å³ per atom): 18.50
# Crystal system: orthorhombic



## Q
# GGA-PBE Na3Cu4Se4, relaxed
data_Na3Cu4Se4
_cell_length_a 4.079
_cell_length_b 4.167
_cell_length_c 13.650
_cell_angle_alpha 98.78
_cell_angle_beta 98.59
_cell_angle_gamma 90.00
_space_group_name_H-M_alt 'P 1'
_space_group_IT_number 1
loop_
_space_group_symop_operation_xyz
'x,y,z'
loop_
_atom_site_label
_atom_site_type_symbol
_atom_site_fract_x
_atom_site_fract_y
_atom_site_fract_z
_atom_site_occupancy
Na1 Na 0.353 0.853 0.707 1
Na2 Na 0.647 0.147 0.293 1
Na3 Na 0.000 0.000 0.000 1
Cu1 Cu 0.251 0.251 0.503 1
Cu2 Cu 0.106 0.606 0.211 1
Cu3 Cu 0.894 0.394 0.789 1
Cu4 Cu 0.749 0.749 0.497 1
Se1 Se 0.804 0.304 0.608 1
Se2 Se 0.436 0.436 0.872 1
Se3 Se 0.564 0.564 0.128 1
Se4 Se 0.196 0.696 0.392 1
# V (Å³ per atom): 20.61
# Crystal system: orthorhombic



Short version: Q, P, most stable first.



## P
# GGA-PBE NaCu2Sn2, relaxed
data_NaCu2Sn2
_cell_length_a 4.663
_cell_length_b 4.663
_cell_length_c 6.104
_cell_angle_alpha 67.55
_cell_angle_beta 67.55
_cell_angle_gamma 90.00
_space_group_name_H-M_alt 'P 1'
_space_group_IT_number 1
loop_
_space_group_symop_operation_xyz
'x,y,z'
loop_
_atom_site_label
_atom_site_type_symbol
_atom_site_fract_x
_atom_site_fract_y
_atom_site_fract_z
_atom_site_occupancy
Na1 Na 0.000 0.000 0.000 1
Sn1 Sn 0.750 0.250 0.500 1
Sn2 Sn 0.250 0.750 0.500 1
Cu1 Cu 0.381 0.381 0.238 1
Cu2 Cu 0.619 0.619 0.762 1
# V (Å³ per atom): 22.34
# Crystal system: tetragonal



## Q
# GGA-PBE NaCu2Sn2, relaxed
data_NaCu2Sn2
_cell_length_a 4.546
_cell_length_b 4.546
_cell_length_c 5.896
_cell_angle_alpha 105.14
_cell_angle_beta 105.14
_cell_angle_gamma 96.24
_space_group_name_H-M_alt 'P 1'
_space_group_IT_number 1
loop_
_space_group_symop_operation_xyz
'x,y,z'
loop_
_atom_site_label
_atom_site_type_symbol
_atom_site_fract_x
_atom_site_fract_y
_atom_site_fract_z
_atom_site_occupancy
Na1 Na 0.000 0.000 0.000 1
Cu1 Cu 0.192 0.808 0.500 1
Cu2 Cu 0.808 0.192 0.500 1
Sn1 Sn 0.597 0.597 0.275 1
Sn2 Sn 0.403 0.403 0.725 1
# V (Å³ per atom): 22.30
# Crystal system: monoclinic



## R
# GGA-PBE NaCu2Sn2, relaxed
data_NaCu2Sn2
_cell_length_a 7.901
_cell_length_b 7.901
_cell_length_c 3.219
_cell_angle_alpha 90.00
_cell_angle_beta 90.00
_cell_angle_gamma 90.00
_space_group_name_H-M_alt 'P 1'
_space_group_IT_number 1
loop_
_space_group_symop_operation_xyz
'x,y,z'
loop_
_atom_site_label
_atom_site_type_symbol
_atom_site_fract_x
_atom_site_fract_y
_atom_site_fract_z
_atom_site_occupancy
Na1 Na 0.000 0.000 0.000 1
Na2 Na 0.500 0.500 0.000 1
Sn1 Sn 0.170 0.670 0.500 1
Sn2 Sn 0.670 0.830 0.500 1
Sn3 Sn 0.830 0.330 0.500 1
Sn4 Sn 0.330 0.170 0.500 1
Cu1 Cu 0.380 0.880 0.000 1
Cu2 Cu 0.880 0.620 0.000 1
Cu3 Cu 0.620 0.120 0.000 1
Cu4 Cu 0.120 0.380 0.000 1
# V (Å³ per atom): 20.10
# Crystal system: tetragonal



## S
# GGA-PBE NaCu2Sn2, relaxed
data_NaCu2Sn2
_cell_length_a 8.306
_cell_length_b 8.306
_cell_length_c 2.967
_cell_angle_alpha 90.00
_cell_angle_beta 90.00
_cell_angle_gamma 90.00
_space_group_name_H-M_alt 'P 1'
_space_group_IT_number 1
loop_
_space_group_symop_operation_xyz
'x,y,z'
loop_
_atom_site_label
_atom_site_type_symbol
_atom_site_fract_x
_atom_site_fract_y
_atom_site_fract_z
_atom_site_occupancy
Na1 Na 0.000 0.000 0.000 1
Na2 Na 0.500 0.500 0.000 1
Sn1 Sn 0.356 0.856 0.000 1
Sn2 Sn 0.856 0.644 0.000 1
Sn3 Sn 0.644 0.144 0.000 1
Sn4 Sn 0.144 0.356 0.000 1
Cu1 Cu 0.150 0.650 0.500 1
Cu2 Cu 0.650 0.850 0.500 1
Cu3 Cu 0.850 0.350 0.500 1
Cu4 Cu 0.350 0.150 0.500 1
# V (Å³ per atom): 20.47
# Crystal system: tetragonal



Short version: Q, R, P, S, most stable first.